[1]
# PBE InTe2OsAuS, relaxed
# VASP energy (eV per atom): -4.624
# Total magnetization (μB/f.u.): 0.0
data_InTe2OsAuS
_cell_length_a 4.014
_cell_length_b 17.998
_cell_length_c 8.574
_cell_angle_alpha 90.00
_cell_angle_beta 90.00
_cell_angle_gamma 90.00
_space_group_name_H-M_alt 'C m c m'
_space_group_IT_number 63
_space_group_name_Hall '-C 2c 2'
loop_
_atom_site_label
_atom_site_type_symbol
_atom_site_fract_x
_atom_site_fract_y
_atom_site_fract_z
_atom_site_occupancy
In1 In 0.000 0.170 0.250 1
Te1 Te 0.000 0.090 0.571 1
Os1 Os 0.000 0.500 0.000 1
Au1 Au 0.000 0.226 0.750 1
S1 S 0.000 0.443 0.750 1


[2]
# PBE Dy3Ho2Hg3, relaxed
# E above lowest polymorph (eV/atom): 0.0000
# ΔE_f (eV/atom): -0.28
# Total magnetization (μB/f.u.): 0.1
data_Dy3Ho2Hg3
_cell_length_a 6.543
_cell_length_b 5.299
_cell_length_c 6.582
_cell_angle_alpha 90.00
_cell_angle_beta 111.17
_cell_angle_gamma 90.00
_space_group_name_H-M_alt 'P 1 m 1'
_space_group_IT_number 6
loop_
_space_group_symop_operation_xyz
'x,y,z'
'x,-y,z'
loop_
_atom_site_label
_atom_site_type_symbol
_atom_site_fract_x
_atom_site_fract_y
_atom_site_fract_z
_atom_site_occupancy
Dy1 Dy 0.000 0.000 0.000 1
Dy2 Dy 0.225 0.500 0.290 1
Dy3 Dy 0.756 0.500 0.342 1
Ho1 Ho 0.280 0.500 0.806 1
Ho2 Ho 0.528 0.000 0.576 1
Hg1 Hg 0.034 0.000 0.500 1
Hg2 Hg 0.499 0.000 0.086 1
Hg3 Hg 0.766 0.500 0.834 1


[3]
# PBE DyMgU, relaxed
# E above lowest polymorph (eV/atom): 0.0000
# Total magnetization (μB/f.u.): 4.2
data_DyMgU
_cell_length_a 7.238
_cell_length_b 7.238
_cell_length_c 7.238
_cell_angle_alpha 90.00
_cell_angle_beta 90.00
_cell_angle_gamma 90.00
_space_group_name_H-M_alt 'F -4 3 m'
_space_group_IT_number 216
_space_group_name_Hall 'F -4 2 3'
loop_
_atom_site_label
_atom_site_type_symbol
_atom_site_fract_x
_atom_site_fract_y
_atom_site_fract_z
_atom_site_occupancy
Dy1 Dy 0.000 0.000 0.000 1
Mg1 Mg 0.250 0.250 0.250 1
U1 U 0.000 0.000 0.500 1


[4]
# PBE ReHgO3, relaxed
# VASP energy (eV per atom): -6.348
# Total magnetization (μB/f.u.): 0.0
data_ReHgO3
_cell_length_a 5.606
_cell_length_b 7.838
_cell_length_c 5.545
_cell_angle_alpha 90.00
_cell_angle_beta 90.00
_cell_angle_gamma 90.00
_space_group_name_H-M_alt 'P n m a'
_space_group_IT_number 62
loop_
_space_group_symop_operation_xyz
'x,y,z'
'-x,-y,-z'
'-x+1/2,-y,z+1/2'
'x+1/2,y,-z+1/2'
'x+1/2,-y+1/2,-z+1/2'
'-x+1/2,y+1/2,z+1/2'
'-x,y+1/2,-z'
'x,-y+1/2,z'
loop_
_atom_site_label
_atom_site_type_symbol
_atom_site_fract_x
_atom_site_fract_y
_atom_site_fract_z
_atom_site_occupancy
Re1 Re 0.000 0.000 0.000 1
Hg1 Hg 0.000 0.250 0.500 1
O1 O 0.002 0.250 0.002 1
O2 O 0.249 0.501 0.251 1


[5]
# PBE PrSm2Al7Ag2, relaxed
# VASP energy (eV per atom): -4.313
# Total magnetization (μB/f.u.): 0.0
data_PrSm2Al7Ag2
_cell_length_a 5.6389
_cell_length_b 5.6389
_cell_length_c 26.6502
_cell_angle_alpha 90.00
_cell_angle_beta 90.00
_cell_angle_gamma 120.00
_space_group_name_H-M_alt 'R -3 m'
_space_group_IT_number 166
_space_group_name_Hall '-R 3 2"'
loop_
_atom_site_label
_atom_site_type_symbol
_atom_site_fract_x
_atom_site_fract_y
_atom_site_fract_z
_atom_site_occupancy
Pr1 Pr 0.0000 0.0000 0.0000 1
Sm1 Sm 0.0000 0.0000 0.1419 1
Al1 Al 0.0000 0.0000 0.5000 1
Al2 Al 0.0081 0.5040 0.9167 1
Ag1 Ag 0.0000 0.0000 0.3360 1


[6]
# PBE GdHo2Sn4Au4, relaxed
# VASP energy (eV per atom): -4.536
# Total magnetization (μB/f.u.): 0.0
data_GdHo2Sn4Au4
_cell_length_a 4.545
_cell_length_b 7.282
_cell_length_c 15.484
_cell_angle_alpha 90.00
_cell_angle_beta 90.00
_cell_angle_gamma 90.00
_space_group_name_H-M_alt 'I m m m'
_space_group_IT_number 71
_space_group_name_Hall '-I 2 2'
loop_
_atom_site_label
_atom_site_type_symbol
_atom_site_fract_x
_atom_site_fract_y
_atom_site_fract_z
_atom_site_occupancy
Gd1 Gd 0.000 0.000 0.000 1
Ho1 Ho 0.000 0.500 0.129 1
Sn1 Sn 0.000 0.000 0.215 1
Sn2 Sn 0.000 0.196 0.500 1
Au1 Au 0.000 0.296 0.331 1